Below is crystalline CaY12Ni6 at its relaxed geometry, with properties calculated at the PBE level.

Lattice parameters (Å, degrees): 9.945 9.945 9.945 90.00 90.00 90.00
Space group Im-3 (No. 204)
Asymmetric unit:
Ca 0.000 0.000 0.000 x2
Y 0.000 0.313 0.187 x24
Ni 0.000 0.121 0.500 x12

- VASP energy: -6.25 eV/atom
- Formation energy from the elements: -0.24 eV per atom
- Density of states at the Fermi level: 22.64 states/eV/f.u.
- Size of the total moment: 0.000 μB per atom


Below is crystalline CaYNi2 at its relaxed geometry, with properties calculated at the PBE level.

Lattice parameters (Å, degrees): 4.069 3.915 10.562 90.00 90.00 90.00
Space group Amm2 (No. 38)
Asymmetric unit:
Ca 0.000 0.000 0.000 x2
Y 0.500 0.000 0.281 x2
Ni 0.000 0.000 0.712 x2
Ni 0.500 0.000 0.588 x2

- VASP energy: -5.27 eV/atom
- Formation energy from the elements: -0.27 eV per atom
- Density of states at the Fermi level: 2.98 states/eV/f.u.
- Size of the total moment: 0.000 μB per atom


Below is crystalline CaYNi at its relaxed geometry, with properties calculated at the PBE level.

Lattice parameters (Å, degrees): 3.9230 3.9230 6.5357 90.00 90.00 120.00
Space group P3m1 (No. 156)
Asymmetric unit:
Ca 0.0000 0.0000 0.0000 x1
Y 0.3333 0.6667 0.4782 x1
Ni 0.6667 0.3333 0.2618 x1

- VASP energy: -4.82 eV/atom
- Formation energy from the elements: -0.07 eV per atom
- Density of states at the Fermi level: 3.22 states/eV/f.u.
- Size of the total moment: 0.000 μB per atom
- Excess energy over the best structure of this formula in the dataset: 0.1981 eV/atom


Below is crystalline CaYNi at its relaxed geometry, with properties calculated at the PBE level.

Lattice parameters (Å, degrees): 14.799 3.985 5.606 90.00 100.14 90.00
Space group C2/m (No. 12)
Asymmetric unit:
Ca 0.085 0.000 0.291 x4
Y 0.168 0.500 0.827 x4
Ni 0.235 0.500 0.362 x4

- VASP energy: -4.96 eV/atom
- Formation energy from the elements: -0.21 eV per atom
- Density of states at the Fermi level: 2.49 states/eV/f.u.
- Size of the total moment: 0.000 μB per atom
- Excess energy over the best structure of this formula in the dataset: 0.0539 eV/atom


Below is crystalline CaYNi2 at its relaxed geometry, with properties calculated at the PBE level.

Lattice parameters (Å, degrees): 4.808 4.808 3.382 90.00 90.00 90.00
Space group P4/mmm (No. 123)
Asymmetric unit:
Ca 0.000 0.000 0.000 x1
Y 0.500 0.500 0.000 x1
Ni 0.000 0.500 0.500 x2

- VASP energy: -5.19 eV/atom
- Formation energy from the elements: -0.18 eV per atom
- Density of states at the Fermi level: 1.79 states/eV/f.u.
- Size of the total moment: 0.000 μB per atom


Below is crystalline CaYNi at its relaxed geometry, with properties calculated at the PBE level.

Lattice parameters (Å, degrees): 14.433 3.735 6.915 90.00 118.55 90.00
Space group C2/m (No. 12)
Asymmetric unit:
Ca 0.225 0.000 0.224 x4
Y 0.000 0.500 0.263 x4
Ni 0.101 0.000 0.600 x4

- VASP energy: -4.91 eV/atom
- Formation energy from the elements: -0.16 eV per atom
- Density of states at the Fermi level: 3.48 states/eV/f.u.
- Size of the total moment: 0.000 μB per atom
- Excess energy over the best structure of this formula in the dataset: 0.1058 eV/atom